No. 1
# BaInPtAu2 GGA-PBEsol optimized geometry
data_BaInPtAu2
_cell_length_a 5.144
_cell_length_b 5.144
_cell_length_c 5.104
_cell_angle_alpha 90.00
_cell_angle_beta 90.00
_cell_angle_gamma 90.00
_space_group_name_H-M_alt 'P 4/m m m'
_space_group_IT_number 123
_space_group_name_Hall '-P 4 2'
loop_
_atom_site_label
_atom_site_fract_x
_atom_site_fract_y
_atom_site_fract_z
Ba1 0.000 0.000 0.000
In1 0.500 0.500 0.500
Pt1 0.500 0.500 0.000
Au1 0.000 0.500 0.500
# DFT formation energy: -12.4 kJ per mole of atoms
# VASP energy: -4.1176 eV per atom
# DOS at the Fermi energy: 1.48 states/eV/cell

No. 2
# Ba2CaCuSb2F14 GGA-PBEsol optimized geometry
data_Ba2CaCuSb2F14
_cell_length_a 14.041
_cell_length_b 5.337
_cell_length_c 16.322
_cell_angle_alpha 90.00
_cell_angle_beta 90.94
_cell_angle_gamma 90.00
_space_group_name_H-M_alt 'C 1 2/c 1'
_space_group_IT_number 15
_space_group_name_Hall '-C 2yc'
loop_
_atom_site_label
_atom_site_fract_x
_atom_site_fract_y
_atom_site_fract_z
Ba1 0.179 0.081 0.118
Ca1 0.000 0.457 0.750
Cu1 0.000 0.500 0.000
Sb1 0.114 0.035 0.375
F1 0.020 0.125 0.668
F2 0.025 0.389 0.111
F3 0.080 0.220 0.515
F4 0.119 0.252 0.261
F5 0.151 0.262 0.960
F6 0.155 0.246 0.798
F7 0.237 0.407 0.621
# VASP energy: -5.2653 eV per atom
# ΔE_f (raw): -2.9221 eV/atom

No. 3
# MgRhCl2 GGA-PBEsol optimized geometry
data_MgRhCl2
_cell_length_a 4.358
_cell_length_b 4.358
_cell_length_c 3.368
_cell_angle_alpha 90.00
_cell_angle_beta 90.00
_cell_angle_gamma 90.00
_space_group_name_H-M_alt 'P 4/m m m'
_space_group_IT_number 123
_space_group_name_Hall '-P 4 2'
loop_
_atom_site_label
_atom_site_fract_x
_atom_site_fract_y
_atom_site_fract_z
Mg1 0.000 0.000 0.000
Rh1 0.500 0.500 0.000
Cl1 0.000 0.500 0.500
# VASP energy: -3.6866 eV per atom
# ΔE_f (raw): -0.2188 eV/atom
# DOS at the Fermi energy: 3.10 states/eV/cell

No. 4
# Sm3Co4Sn13 GGA-PBEsol optimized geometry
data_Sm3Co4Sn13
_cell_length_a 9.443
_cell_length_b 9.443
_cell_length_c 9.443
_cell_angle_alpha 90.00
_cell_angle_beta 90.00
_cell_angle_gamma 90.00
_space_group_name_H-M_alt 'P m -3 n'
_space_group_IT_number 223
_space_group_name_Hall '-P 4n 2 3'
loop_
_atom_site_label
_atom_site_fract_x
_atom_site_fract_y
_atom_site_fract_z
Sm1 0.000 0.250 0.500
Co1 0.250 0.250 0.250
Sn1 0.000 0.000 0.000
Sn2 0.000 0.303 0.158
# DFT formation energy: -40.8 kJ per mole of atoms
# VASP energy: -5.5024 eV per atom
# DOS at the Fermi energy: 17.06 states/eV/cell

No. 5
# RbNbN2O GGA-PBEsol optimized geometry
data_RbNbN2O
_cell_length_a 4.195
_cell_length_b 4.195
_cell_length_c 4.033
_cell_angle_alpha 90.00
_cell_angle_beta 90.00
_cell_angle_gamma 90.00
_space_group_name_H-M_alt 'P 4/m m m'
_space_group_IT_number 123
_space_group_name_Hall '-P 4 2'
loop_
_atom_site_label
_atom_site_fract_x
_atom_site_fract_y
_atom_site_fract_z
Rb1 0.000 0.000 0.000
Nb1 0.500 0.500 0.500
N1 0.000 0.500 0.000
O1 0.000 0.000 0.500
# VASP energy: -4.4637 eV per atom
# ΔE_f (raw): 2.3662 eV/atom
# DOS at the Fermi energy: 3.55 states/eV/cell

No. 6
# CsCrAs2O7 GGA-PBEsol optimized geometry
data_CsCrAs2O7
_cell_length_a 7.920
_cell_length_b 10.071
_cell_length_c 8.676
_cell_angle_alpha 90.00
_cell_angle_beta 106.22
_cell_angle_gamma 90.00
_space_group_name_H-M_alt 'P 1 21/c 1'
_space_group_IT_number 14
_space_group_name_Hall '-P 2ybc'
loop_
_atom_site_label
_atom_site_fract_x
_atom_site_fract_y
_atom_site_fract_z
Cs1 0.176 0.193 0.046
Cr1 0.239 0.600 0.269
As1 0.137 0.589 0.843
As2 0.432 0.633 0.687
O1 0.018 0.508 0.279
O2 0.097 0.742 0.756
O3 0.150 0.579 0.038
O4 0.289 0.606 0.504
O5 0.342 0.533 0.818
O6 0.359 0.078 0.783
O7 0.443 0.708 0.258
# VASP energy: -6.7862 eV per atom
# ΔE_f (raw): -1.5006 eV/atom

No. 7
# BeCd2Hg GGA-PBEsol optimized geometry
data_BeCd2Hg
_cell_length_a 3.332
_cell_length_b 4.402
_cell_length_c 5.172
_cell_angle_alpha 90.00
_cell_angle_beta 99.23
_cell_angle_gamma 90.00
_space_group_name_H-M_alt 'P 1 2/m 1'
_space_group_IT_number 10
_space_group_name_Hall '-P 2y'
loop_
_atom_site_label
_atom_site_fract_x
_atom_site_fract_y
_atom_site_fract_z
Be1 0.000 0.000 0.000
Cd1 0.322 0.500 0.228
Hg1 0.000 0.000 0.500
# DFT formation energy: 26.6 kJ per mole of atoms
# VASP energy: -1.4650 eV per atom
# DOS at the Fermi energy: 1.30 states/eV/cell

No. 8
# TaBe2Ru2 GGA-PBEsol optimized geometry
data_TaBe2Ru2
_cell_length_a 6.377
_cell_length_b 6.377
_cell_length_c 2.898
_cell_angle_alpha 90.00
_cell_angle_beta 90.00
_cell_angle_gamma 90.00
_space_group_name_H-M_alt 'P 4/m b m'
_space_group_IT_number 127
_space_group_name_Hall '-P 4 2ab'
loop_
_atom_site_label
_atom_site_fract_x
_atom_site_fract_y
_atom_site_fract_z
Ta1 0.000 0.000 0.000
Be1 0.118 0.382 0.000
Ru1 0.172 0.672 0.500
# DFT formation energy: -37.4 kJ per mole of atoms
# VASP energy: -8.5673 eV per atom
# DOS at the Fermi energy: 3.06 states/eV/cell

Q: Among the records above, which one has the highest VASP energy?
A: BeCd2Hg

Q: What is the VASP energy in the first record?
A: -4.1176 eV per atom

Q: What is the VASP energy in the sixth record?
A: -6.7862 eV per atom